Record 1
Material: BaS3O9
Method: DFT, PBE
State: relaxed

The structure in POSCAR format:
```
BaS3O9
1.0
8.047 -0.423 0.000
-2.402 7.563 0.001
0.000 0.000 7.721
O S Ba
18 6 2
Direct
0.692 0.708 0.632
0.060 0.739 0.001
0.940 0.261 0.501
0.696 0.967 0.445
0.737 0.709 0.318
0.690 0.159 0.102
0.308 0.292 0.132
0.028 0.099 0.009
0.304 0.033 0.945
0.695 0.443 0.970
0.972 0.901 0.509
0.251 0.899 0.241
0.749 0.101 0.741
0.372 0.767 0.008
0.310 0.841 0.602
0.305 0.557 0.470
0.263 0.291 0.818
0.628 0.233 0.508
0.761 0.158 0.558
0.218 0.193 0.980
0.239 0.842 0.058
0.782 0.807 0.480
0.209 0.676 0.513
0.791 0.324 0.013
0.275 0.189 0.474
0.725 0.811 0.974
```

## Properties
For the density, the calculation gives 2.71 g cm⁻³. The calculation puts the uncorrected formation energy at -1.62 eV per atom.

***

Record 2
Material: Mn5V6Tc
Method: DFT, PBE
State: relaxed

The structure in POSCAR format:
```
Mn5V6Tc
1.0
3.950 0.017 -1.153
-0.797 5.106 -2.659
-0.077 0.370 7.084
V Tc Mn
6 1 5
Direct
0.500 0.744 0.000
0.831 0.578 0.662
0.169 0.916 0.338
0.500 0.256 0.000
0.169 0.422 0.338
0.831 0.084 0.662
0.000 0.000 0.000
0.000 0.500 0.000
0.669 0.169 0.338
0.334 0.334 0.667
0.331 0.831 0.662
0.666 0.666 0.333
```

## Properties
The value obtained for the formation energy from the elements is -0.277 eV per atom. For the density, the calculation gives 7.68 g cm⁻³.

***

Please write out number 1 again, unchanged.
Material: BaS3O9
Method: DFT, PBE
State: relaxed

The structure in POSCAR format:
```
BaS3O9
1.0
8.047 -0.423 0.000
-2.402 7.563 0.001
0.000 0.000 7.721
O S Ba
18 6 2
Direct
0.692 0.708 0.632
0.060 0.739 0.001
0.940 0.261 0.501
0.696 0.967 0.445
0.737 0.709 0.318
0.690 0.159 0.102
0.308 0.292 0.132
0.028 0.099 0.009
0.304 0.033 0.945
0.695 0.443 0.970
0.972 0.901 0.509
0.251 0.899 0.241
0.749 0.101 0.741
0.372 0.767 0.008
0.310 0.841 0.602
0.305 0.557 0.470
0.263 0.291 0.818
0.628 0.233 0.508
0.761 0.158 0.558
0.218 0.193 0.980
0.239 0.842 0.058
0.782 0.807 0.480
0.209 0.676 0.513
0.791 0.324 0.013
0.275 0.189 0.474
0.725 0.811 0.974
```

## Properties
For the density, the calculation gives 2.71 g cm⁻³. The calculation puts the uncorrected formation energy at -1.62 eV per atom.